Record 1
# PBE La2ZnGaSe5, relaxed
# Energy relative to the elements, uncorrected, eV/atom: -1.285
# DOS at the Fermi energy, states/eV per cell: 6.4
# Uncorrected energy, eV/f.u.: -43.14
# Spin magnetization, μB per formula unit: 0.00
data_La2ZnGaSe5
_chemical_formula_sum 'La8 Zn4 Ga4 Se20'
_symmetry_space_group_name_H-M 'C m c 21'
_symmetry_Int_Tables_number 36
_cell_length_a 4.3039
_cell_length_b 17.6450
_cell_length_c 11.7733
_cell_angle_alpha 90.00
_cell_angle_beta 90.00
_cell_angle_gamma 90.00
loop_
_symmetry_equiv_pos_as_xyz
'x,y,z'
'-x,-y,z+1/2'
'-x,y,z'
'x,-y,z+1/2'
'x+1/2,y+1/2,z'
'-x+1/2,-y+1/2,z+1/2'
'-x+1/2,y+1/2,z'
'x+1/2,-y+1/2,z+1/2'
loop_
_atom_site_label
_atom_site_type_symbol
_atom_site_fract_x
_atom_site_fract_y
_atom_site_fract_z
La1 La 0.0000 0.1173 0.0000
La2 La 0.0000 0.1282 0.6135
Zn1 Zn 0.0000 0.2160 0.3347
Ga1 Ga 0.0000 0.4329 0.7749
Se1 Se 0.0000 0.0453 0.3710
Se2 Se 0.0000 0.2905 0.9732
Se3 Se 0.0000 0.3089 0.6692
Se4 Se 0.0000 0.3573 0.3108
Se5 Se 0.0000 0.5001 0.0887



Record 2
# PBE LaGaSi2, relaxed
# Energy relative to the elements, uncorrected, eV/atom: -0.210
# DOS at the Fermi energy, states/eV per cell: 0.2
# Uncorrected energy, eV/f.u.: -19.64
# Spin magnetization, μB per formula unit: 0.00
data_LaGaSi2
_chemical_formula_sum 'La4 Ga4 Si8'
_symmetry_space_group_name_H-M 'I -4 2 d'
_symmetry_Int_Tables_number 122
_symmetry_space_group_name_Hall 'I -4 2bw'
_cell_length_a 7.5184
_cell_length_b 7.5184
_cell_length_c 6.3040
_cell_angle_alpha 90.00
_cell_angle_beta 90.00
_cell_angle_gamma 90.00
loop_
_atom_site_label
_atom_site_type_symbol
_atom_site_fract_x
_atom_site_fract_y
_atom_site_fract_z
La1 La 0.0000 0.0000 0.0000
Ga1 Ga 0.0000 0.0000 0.5000
Si1 Si 0.1932 0.2500 0.6250



- Which value of spin magnetization does entry 2 give?
  0.00 μB per formula unit



- Which value of energy relative to the elements, uncorrected does entry 1 give?
  -1.285 eV/atom



- What is the spin magnetization in the first record?
  0.00 μB per formula unit